1.
DFT (PBE-GGA) results for a geometry-optimized BaPdO structure.

Computed properties:
**Spin magnetization**: 0.00 μB per cell
**VASP energy**: -5.41 eV/atom
**Uncorrected formation energy**: -1.382 eV per atom
**Space-group type**: Cmc2_1

```
BaPdO
1.0
2.035 -8.218 0.000
2.035 8.218 0.000
0.000 0.000 3.936
Ba Pd O
2 2 2
Direct
0.160 0.840 0.500 Ba
0.840 0.160 0.000 Ba
0.447 0.553 0.500 Pd
0.553 0.447 0.000 Pd
0.321 0.679 0.501 O
0.679 0.321 0.001 O
```

***

2.
DFT (PBE-GGA) results for a geometry-optimized BaPdO structure.

Computed properties:
**Spin magnetization**: 0.00 μB per cell
**VASP energy**: -5.02 eV/atom
**Uncorrected formation energy**: -0.998 eV per atom
**Space-group type**: P6_3/mmc

```
BaPdO
1.0
4.132 0.000 0.000
-2.066 3.579 0.000
0.000 0.000 7.907
Ba Pd O
2 2 2
Direct
0.000 0.000 0.000 Ba
0.000 0.000 0.500 Ba
0.333 0.667 0.250 Pd
0.667 0.333 0.750 Pd
0.333 0.667 0.750 O
0.667 0.333 0.250 O
```

***

3.
DFT (PBE-GGA) results for a geometry-optimized Ba2PdO structure.

Computed properties:
**Spin magnetization**: 0.00 μB per cell
**VASP energy**: -4.85 eV/atom
**Uncorrected formation energy**: -1.354 eV per atom
**Space-group type**: I-42d

```
Ba2PdO
1.0
-3.721 3.721 4.545
3.721 -3.721 4.545
3.721 3.721 -4.545
Ba Pd O
4 2 2
Direct
0.058 0.625 0.933 Ba
0.375 0.308 0.433 Ba
0.692 0.125 0.067 Ba
0.875 0.942 0.567 Ba
0.250 0.750 0.500 Pd
0.500 0.500 0.000 Pd
0.000 0.000 0.000 O
0.750 0.250 0.500 O
```

***

4.
DFT (PBE-GGA) results for a geometry-optimized Ba2PdO structure.

Computed properties:
**Spin magnetization**: 0.00 μB per cell
**VASP energy**: -4.68 eV/atom
**Uncorrected formation energy**: -1.182 eV per atom
**Space-group type**: P4/mmm

```
Ba2PdO
1.0
3.583 0.000 0.000
0.000 3.583 0.000
0.000 0.000 7.572
Ba Pd O
2 1 1
Direct
0.000 0.000 0.218 Ba
0.000 0.000 0.782 Ba
0.500 0.500 0.500 Pd
0.500 0.500 0.000 O
```

***

5.
DFT (PBE-GGA) results for a geometry-optimized BaPdO structure.

Computed properties:
**Spin magnetization**: 0.00 μB per cell
**VASP energy**: -5.10 eV/atom
**Uncorrected formation energy**: -1.076 eV per atom
**Space-group type**: Cmcm

```
BaPdO
1.0
1.867 -5.874 0.000
1.867 5.874 0.000
0.000 0.000 6.257
Ba Pd O
2 2 2
Direct
0.100 0.900 0.750 Ba
0.900 0.100 0.250 Ba
0.365 0.635 0.750 Pd
0.635 0.365 0.250 Pd
0.500 0.500 0.000 O
0.500 0.500 0.500 O
```

***

6.
DFT (PBE-GGA) results for a geometry-optimized Ba3PdO3 structure.

Computed properties:
**Spin magnetization**: 0.00 μB per cell
**VASP energy**: -5.58 eV/atom
**Uncorrected formation energy**: -1.886 eV per atom
**Space-group type**: P6_3/m

```
Ba3PdO3
1.0
8.120 0.000 0.000
-4.060 7.032 0.000
0.000 0.000 5.515
Ba Pd O
6 2 6
Direct
0.060 0.364 0.250 Ba
0.304 0.940 0.250 Ba
0.364 0.304 0.750 Ba
0.636 0.696 0.250 Ba
0.696 0.060 0.750 Ba
0.940 0.636 0.750 Ba
0.333 0.667 0.750 Pd
0.667 0.333 0.250 Pd
0.064 0.363 0.750 O
0.299 0.936 0.750 O
0.363 0.299 0.250 O
0.637 0.701 0.750 O
0.701 0.064 0.250 O
0.936 0.637 0.250 O
```

***

7.
DFT (PBE-GGA) results for a geometry-optimized Ba3Pd2O8 structure.

Computed properties:
**Spin magnetization**: 0.01 μB per cell
**VASP energy**: -5.48 eV/atom
**Uncorrected formation energy**: -1.182 eV per atom
**Space-group type**: R-3m

```
Ba3Pd2O8
1.0
2.971 1.715 7.374
-2.971 1.715 7.374
0.000 -3.430 7.374
Ba Pd O
3 2 8
Direct
0.000 0.000 0.000 Ba
0.208 0.208 0.208 Ba
0.792 0.792 0.792 Ba
0.409 0.409 0.409 Pd
0.591 0.591 0.591 Pd
0.209 0.741 0.741 O
0.259 0.259 0.791 O
0.259 0.791 0.259 O
0.324 0.324 0.324 O
0.676 0.676 0.676 O
0.741 0.209 0.741 O
0.741 0.741 0.209 O
0.791 0.259 0.259 O
```

***

8.
DFT (PBE-GGA) results for a geometry-optimized BaPdO structure.

Computed properties:
**Spin magnetization**: 0.00 μB per cell
**VASP energy**: -5.38 eV/atom
**Uncorrected formation energy**: -1.360 eV per atom
**Space-group type**: Cm

```
BaPdO
1.0
3.773 -2.456 0.000
3.773 2.456 0.000
-3.737 0.000 6.961
Ba Pd O
2 2 2
Direct
0.000 0.000 0.000 Ba
0.693 0.693 0.381 Ba
0.149 0.149 0.690 Pd
0.496 0.496 0.691 Pd
0.341 0.341 0.388 O
0.641 0.641 0.994 O
```

***

9.
DFT (PBE-GGA) results for a geometry-optimized BaPdO structure.

Computed properties:
**Spin magnetization**: 0.00 μB per cell
**VASP energy**: -5.41 eV/atom
**Uncorrected formation energy**: -1.390 eV per atom
**Space-group type**: Cmc2_1

```
BaPdO
1.0
2.657 -4.826 0.000
2.657 4.826 0.000
0.000 0.000 5.445
Ba Pd O
2 2 2
Direct
0.184 0.816 0.500 Ba
0.816 0.184 0.000 Ba
0.495 0.505 0.812 Pd
0.505 0.495 0.312 Pd
0.333 0.667 0.075 O
0.667 0.333 0.575 O
```

***

10.
DFT (PBE-GGA) results for a geometry-optimized BaPdO structure.

Computed properties:
**Spin magnetization**: 0.00 μB per cell
**VASP energy**: -4.85 eV/atom
**Uncorrected formation energy**: -0.826 eV per atom
**Space-group type**: P4/nmm

```
BaPdO
1.0
4.626 0.000 0.000
0.000 4.626 0.000
0.000 0.000 6.064
Ba Pd O
2 2 2
Direct
0.250 0.250 0.218 Ba
0.750 0.750 0.782 Ba
0.250 0.250 0.721 Pd
0.750 0.750 0.279 Pd
0.250 0.750 0.000 O
0.750 0.250 0.000 O
```

***

11.
DFT (PBE-GGA) results for a geometry-optimized BaPd3O4 structure.

Computed properties:
**Spin magnetization**: 0.00 μB per cell
**VASP energy**: -5.63 eV/atom
**Uncorrected formation energy**: -0.966 eV per atom
**Space-group type**: Pm-3n

```
BaPd3O4
1.0
6.060 0.000 0.000
0.000 6.060 0.000
0.000 0.000 6.060
Ba Pd O
2 6 8
Direct
0.000 0.000 0.000 Ba
0.500 0.500 0.500 Ba
0.000 0.250 0.500 Pd
0.000 0.750 0.500 Pd
0.250 0.500 0.000 Pd
0.500 0.000 0.250 Pd
0.500 0.000 0.750 Pd
0.750 0.500 0.000 Pd
0.250 0.250 0.250 O
0.250 0.250 0.750 O
0.250 0.750 0.250 O
0.250 0.750 0.750 O
0.750 0.250 0.250 O
0.750 0.250 0.750 O
0.750 0.750 0.250 O
0.750 0.750 0.750 O
```

***

12.
DFT (PBE-GGA) results for a geometry-optimized Ba12Pd3O5 structure.

Computed properties:
**Spin magnetization**: 0.00 μB per cell
**VASP energy**: -4.50 eV/atom
**Uncorrected formation energy**: -1.328 eV per atom
**Space-group type**: Ia-3d

```
Ba12Pd3O5
1.0
-8.778 8.778 8.778
8.778 -8.778 8.778
8.778 8.778 -8.778
Ba Pd O
48 12 20
Direct
0.019 0.200 0.121 Ba
0.019 0.319 0.898 Ba
0.079 0.700 0.681 Ba
0.079 0.879 0.398 Ba
0.102 0.621 0.421 Ba
0.102 0.981 0.681 Ba
0.121 0.019 0.200 Ba
0.121 0.602 0.921 Ba
0.181 0.200 0.579 Ba
0.181 0.481 0.602 Ba
0.200 0.121 0.019 Ba
0.200 0.579 0.181 Ba
0.300 0.319 0.921 Ba
0.300 0.481 0.379 Ba
0.319 0.898 0.019 Ba
0.319 0.921 0.300 Ba
0.379 0.300 0.481 Ba
0.379 0.579 0.898 Ba
0.398 0.079 0.879 Ba
0.398 0.819 0.519 Ba
0.421 0.102 0.621 Ba
0.421 0.819 0.800 Ba
0.481 0.379 0.300 Ba
0.481 0.602 0.181 Ba
0.519 0.398 0.819 Ba
0.519 0.621 0.700 Ba
0.579 0.181 0.200 Ba
0.579 0.898 0.379 Ba
0.602 0.181 0.481 Ba
0.602 0.921 0.121 Ba
0.621 0.421 0.102 Ba
0.621 0.700 0.519 Ba
0.681 0.079 0.700 Ba
0.681 0.102 0.981 Ba
0.700 0.519 0.621 Ba
0.700 0.681 0.079 Ba
0.800 0.421 0.819 Ba
0.800 0.879 0.981 Ba
0.819 0.519 0.398 Ba
0.819 0.800 0.421 Ba
0.879 0.398 0.079 Ba
0.879 0.981 0.800 Ba
0.898 0.019 0.319 Ba
0.898 0.379 0.579 Ba
0.921 0.121 0.602 Ba
0.921 0.300 0.319 Ba
0.981 0.681 0.102 Ba
0.981 0.800 0.879 Ba
0.125 0.250 0.375 Pd
0.125 0.375 0.750 Pd
0.250 0.375 0.125 Pd
0.250 0.875 0.625 Pd
0.375 0.125 0.250 Pd
0.375 0.750 0.125 Pd
0.625 0.250 0.875 Pd
0.625 0.875 0.750 Pd
0.750 0.125 0.375 Pd
0.750 0.625 0.875 Pd
0.875 0.625 0.250 Pd
0.875 0.750 0.625 Pd
0.000 0.000 0.000 O
0.000 0.000 0.500 O
0.000 0.500 0.000 O
0.000 0.500 0.500 O
0.125 0.750 0.875 O
0.125 0.875 0.250 O
0.250 0.125 0.875 O
0.250 0.625 0.375 O
0.375 0.250 0.625 O
0.375 0.625 0.750 O
0.500 0.000 0.000 O
0.500 0.000 0.500 O
0.500 0.500 0.000 O
0.500 0.500 0.500 O
0.625 0.375 0.250 O
0.625 0.750 0.375 O
0.750 0.375 0.625 O
0.750 0.875 0.125 O
0.875 0.125 0.750 O
0.875 0.250 0.125 O
```

***

What is the VASP energy in the first record? -5.41 eV/atom

***

The highest spin magnetization belongs to which entry? Ba3Pd2O8

***

Repeat the third record exactly.
DFT (PBE-GGA) results for a geometry-optimized Ba2PdO structure.

Computed properties:
**Spin magnetization**: 0.00 μB per cell
**VASP energy**: -4.85 eV/atom
**Uncorrected formation energy**: -1.354 eV per atom
**Space-group type**: I-42d

```
Ba2PdO
1.0
-3.721 3.721 4.545
3.721 -3.721 4.545
3.721 3.721 -4.545
Ba Pd O
4 2 2
Direct
0.058 0.625 0.933 Ba
0.375 0.308 0.433 Ba
0.692 0.125 0.067 Ba
0.875 0.942 0.567 Ba
0.250 0.750 0.500 Pd
0.500 0.500 0.000 Pd
0.000 0.000 0.000 O
0.750 0.250 0.500 O
```

***

Please write out number 8 again, unchanged.
DFT (PBE-GGA) results for a geometry-optimized BaPdO structure.

Computed properties:
**Spin magnetization**: 0.00 μB per cell
**VASP energy**: -5.38 eV/atom
**Uncorrected formation energy**: -1.360 eV per atom
**Space-group type**: Cm

```
BaPdO
1.0
3.773 -2.456 0.000
3.773 2.456 0.000
-3.737 0.000 6.961
Ba Pd O
2 2 2
Direct
0.000 0.000 0.000 Ba
0.693 0.693 0.381 Ba
0.149 0.149 0.690 Pd
0.496 0.496 0.691 Pd
0.341 0.341 0.388 O
0.641 0.641 0.994 O
```